(1)
Here is Se2IBrCl after structural relaxation from Alexandria via LeMat-Bulk. Energies are from GGA-PBE.

For the energy above the lowest structure with this stoichiometry, the calculation gives 86 meV per atom. As for the raw formation energy: 4.1 eV/f.u.

a b c (Å): 5.262 5.262 5.165
angles (deg): 90.00 90.00 90.00
Last column: magnetic moment on the atom in μB.
Sites, in units of the cell vectors:
1 Br 0.000 0.000 0.500  0.00
2 I 0.500 0.500 0.500  0.06
3 Se 0.500 0.000 0.000  0.31
4 Se 0.000 0.500 0.000  0.31
5 Cl 0.000 0.000 0.000  0.09



(2)
Here is Tl6I3BrCl2 after structural relaxation from Alexandria via LeMat-Bulk. Energies are from GGA-PBE.

As for the raw formation energy: -9.7 eV/f.u.

a b c (Å): 8.371 8.371 8.373
angles (deg): 99.60 99.60 120.07
Sites, in units of the cell vectors:
1 Tl 0.076 0.417 0.227
2 Tl 0.417 0.076 0.227
3 Tl 0.583 0.924 0.773
4 Tl 0.734 0.734 0.225
5 Tl 0.924 0.583 0.773
6 Tl 0.266 0.266 0.775
7 I 0.163 0.837 0.500
8 I 0.837 0.163 0.500
9 I 0.500 0.500 0.500
10 Cl 0.332 0.668 0.000
11 Cl 0.668 0.332 0.000
12 Br 0.000 0.000 0.000



(3)
Here is Tl6IBr3Cl2 after structural relaxation from Alexandria via LeMat-Bulk. Energies are from GGA-PBE.

As for the raw formation energy: -10.5 eV/f.u.

a b c (Å): 8.254 8.254 8.239
angles (deg): 99.71 99.71 120.18
Sites, in units of the cell vectors:
1 Cl 0.329 0.671 0.000
2 Cl 0.671 0.329 0.000
3 Tl 0.083 0.435 0.247
4 Tl 0.565 0.917 0.753
5 Tl 0.268 0.268 0.753
6 Tl 0.917 0.565 0.753
7 Tl 0.435 0.083 0.247
8 Tl 0.732 0.732 0.247
9 Br 0.500 0.500 0.500
10 Br 0.842 0.158 0.500
11 Br 0.158 0.842 0.500
12 I 0.000 0.000 0.000